First-principles (PBE-GGA) data for an optimized crystal structure of NpZn4Ge2, as listed in Alexandria via LeMat-Bulk.

Cell: 4.0170 15.3068 3.9945 Å, 90.00 90.00 90.00°
Space group Cmmm (No. 65)
Unique sites:
Np (0.0000, 0.0000, 0.0000) (multiplicity 2)
Zn (0.0000, 0.1872, 0.5000) (multiplicity 4)
Zn (0.0000, 0.3087, 0.0000) (multiplicity 4)
Ge (0.0000, 0.4180, 0.5000) (multiplicity 4)

## Properties
DFT formation energy (eV/atom): -0.043